1.
Below is LiFeI2N after structural relaxation, with properties calculated at the GGA-PBE level.

Structure (POSCAR):
```
LiFeI2N
1.0
-0.986 5.278 -1.066
-2.876 -1.433 -4.432
-2.926 -0.153 1.949
I Li Fe N
2 1 1 1
direct
0.000 0.500 0.000
0.500 0.000 0.000
0.500 0.500 0.500
0.000 0.000 0.000
0.000 0.000 0.500
```

Output
Formation energy (no corrections): -0.05 eV/f.u.
Excess energy over the best structure of this formula in the dataset: 0 meV/atom
DOS(E_F): 0.506 states/eV per atom

***

2.
Below is LiFeIN2 after structural relaxation, with properties calculated at the GGA-PBE level.

Structure (POSCAR):
```
LiFeIN2
1.0
-1.188 3.293 1.223
-1.146 -1.584 3.151
4.466 0.849 2.051
I Li Fe N
1 1 1 2
direct
0.000 0.000 0.500
0.000 0.000 0.000
0.500 0.500 0.500
0.000 0.500 0.000
0.500 0.000 0.000
```

Output
Formation energy (no corrections): 10.34 eV/f.u.
Excess energy over the best structure of this formula in the dataset: 1603 meV/atom
DOS(E_F): 1.545 states/eV per atom

***

3.
Below is LiFeIN2 after structural relaxation, with properties calculated at the GGA-PBE level.

Structure (POSCAR):
```
LiFeIN2
1.0
-0.430 2.854 -2.197
-1.548 -2.144 -2.483
-5.642 1.117 2.554
I Li Fe N
1 1 1 2
direct
0.000 0.000 0.500
0.500 0.500 0.500
0.000 0.000 0.000
0.000 0.500 0.000
0.500 0.000 0.000
```

Output
Formation energy (no corrections): 2.33 eV/f.u.
Excess energy over the best structure of this formula in the dataset: 0 meV/atom
DOS(E_F): 0.516 states/eV per atom

***

4.
Below is LiFeI2N after structural relaxation, with properties calculated at the GGA-PBE level.

Structure (POSCAR):
```
LiFeI2N
1.0
-0.390 -5.282 -0.332
5.027 -0.474 1.631
-1.162 -0.137 3.541
I Li Fe N
2 1 1 1
direct
0.000 0.500 0.000
0.500 0.000 0.000
0.000 0.000 0.000
0.500 0.500 0.500
0.000 0.000 0.500
```

Output
Formation energy (no corrections): 5.49 eV/f.u.
Excess energy over the best structure of this formula in the dataset: 1108 meV/atom
DOS(E_F): 1.301 states/eV per atom

***

5.
Below is NaLiFeI5 after structural relaxation, with properties calculated at the GGA-PBE level.

Structure (POSCAR):
```
NaLiFeI5
1.0
-7.870 0.138 -2.365
-0.208 -6.942 4.395
0.697 7.486 7.050
Na Li Fe I
2 2 2 10
direct
0.331 0.669 0.250
0.669 0.331 0.750
0.000 0.000 0.500
0.000 0.000 0.000
0.657 0.343 0.250
0.343 0.657 0.750
0.084 0.916 0.250
0.916 0.084 0.750
0.894 0.345 0.130
0.106 0.655 0.870
0.655 0.106 0.370
0.345 0.894 0.630
0.708 0.635 0.435
0.292 0.365 0.565
0.365 0.292 0.065
0.635 0.708 0.935
```

Output
Formation energy (no corrections): -5.22 eV/f.u.

***

6.
Below is NaLiFeI4 after structural relaxation, with properties calculated at the GGA-PBE level.

Structure (POSCAR):
```
NaLiFeI4
1.0
-2.387 -5.328 -3.931
4.968 -4.204 2.681
-4.966 3.200 4.979
Na Li Fe I
1 1 1 4
direct
0.000 0.000 0.000
0.500 0.500 0.000
0.250 0.750 0.500
0.163 0.111 0.736
0.375 0.837 0.264
0.573 0.625 0.736
0.889 0.427 0.264
```

Output
Formation energy (no corrections): -5.04 eV/f.u.
DOS(E_F): 0.918 states/eV per atom

***

7.
Below is NaLiFe2I8 after structural relaxation, with properties calculated at the GGA-PBE level.

Structure (POSCAR):
```
NaLiFe2I8
1.0
11.038 -2.653 0.000
-7.273 8.717 0.000
-1.883 -3.032 10.777
Na Li Fe I
1 1 2 8
direct
0.250 0.750 0.500
0.000 0.000 0.000
0.750 0.250 0.500
0.500 0.500 0.000
0.413 0.054 0.359
0.279 0.412 0.133
0.279 0.146 0.867
0.695 0.054 0.641
0.854 0.721 0.133
0.946 0.305 0.359
0.946 0.587 0.641
0.588 0.721 0.867
```

Output
Formation energy (no corrections): -6.07 eV/f.u.

***

8.
Below is LiFeOs2I after structural relaxation, with properties calculated at the GGA-PBE level.

Structure (POSCAR):
```
LiFeOs2I
1.0
-2.841 2.165 -2.679
0.192 -3.406 -2.957
-3.439 -1.974 2.051
I Os Fe Li
1 2 1 1
direct
0.500 0.500 0.500
0.000 0.000 0.500
0.500 0.000 0.000
0.000 0.000 0.000
0.000 0.500 0.000
```

Output
Formation energy (no corrections): 6.74 eV/f.u.
DOS(E_F): 1.139 states/eV per atom

***

9.
Below is LiFePI2 after structural relaxation, with properties calculated at the GGA-PBE level.

Structure (POSCAR):
```
LiFePI2
1.0
5.341 0.000 0.000
0.000 4.501 0.000
0.000 0.000 5.341
I P Fe Li
2 1 1 1
direct
0.000 0.000 0.500
0.500 0.000 0.000
0.000 0.500 0.000
0.500 0.500 0.500
0.000 0.000 0.000
```

Output
Formation energy (no corrections): 3.94 eV/f.u.
DOS(E_F): 1.022 states/eV per atom

***

10.
Below is RbLiFe2I6 after structural relaxation, with properties calculated at the GGA-PBE level.

Structure (POSCAR):
```
RbLiFe2I6
1.0
-9.324 -4.221 5.071
-2.463 -3.445 -10.608
4.699 -5.268 1.795
Rb Li Fe I
2 2 4 12
direct
0.206 0.794 0.250
0.794 0.206 0.750
0.508 0.492 0.250
0.492 0.508 0.750
0.308 0.158 0.885
0.842 0.692 0.615
0.692 0.842 0.115
0.158 0.308 0.385
0.953 0.343 0.227
0.657 0.047 0.273
0.047 0.657 0.773
0.343 0.953 0.727
0.252 0.130 0.219
0.870 0.748 0.281
0.748 0.870 0.781
0.130 0.252 0.719
0.314 0.510 0.443
0.490 0.686 0.057
0.686 0.490 0.557
0.510 0.314 0.943
```

Output
Formation energy (no corrections): -5.75 eV/f.u.
DOS(E_F): 1.043 states/eV per atom

***

11.
Below is RbLiFeI4 after structural relaxation, with properties calculated at the GGA-PBE level.

Structure (POSCAR):
```
RbLiFeI4
1.0
7.900 0.000 0.000
0.000 7.900 0.000
-3.950 -3.950 5.455
Rb Li Fe I
1 1 1 4
direct
0.000 0.000 0.000
0.500 0.500 0.000
0.250 0.750 0.500
0.205 0.113 0.728
0.385 0.795 0.272
0.523 0.615 0.728
0.887 0.477 0.272
```

Output
Formation energy (no corrections): -5.55 eV/f.u.
DOS(E_F): 1.013 states/eV per atom

***

12.
Below is RbLiFe2I8 after structural relaxation, with properties calculated at the GGA-PBE level.

Structure (POSCAR):
```
RbLiFe2I8
1.0
7.399 0.000 0.000
-3.700 6.408 0.000
0.000 0.000 10.557
Rb Li Fe I
1 1 2 8
direct
0.000 0.000 0.000
0.000 0.000 0.500
0.667 0.333 0.252
0.333 0.667 0.748
0.333 0.667 0.989
0.331 0.321 0.328
0.679 0.010 0.328
0.667 0.333 0.011
0.321 0.990 0.672
0.669 0.679 0.672
0.010 0.331 0.672
0.990 0.669 0.328
```

Output
Formation energy (no corrections): -6.74 eV/f.u.

***

13.
Below is RbLi2FeI after structural relaxation, with properties calculated at the GGA-PBE level.

Structure (POSCAR):
```
RbLi2FeI
1.0
6.378 0.000 0.000
0.000 6.375 0.000
0.000 0.000 6.378
I Fe Rb Li
1 1 1 2
direct
0.000 0.500 0.000
0.500 0.500 0.500
0.000 0.000 0.000
0.000 0.000 0.500
0.500 0.000 0.000
```

Output
Formation energy (no corrections): 5.04 eV/f.u.
DOS(E_F): 1.183 states/eV per atom

***

14.
Below is LiFeSb2I after structural relaxation, with properties calculated at the GGA-PBE level.

Structure (POSCAR):
```
LiFeSb2I
1.0
4.833 0.000 0.000
0.000 4.833 0.000
0.000 0.000 6.398
I Sb Fe Li
1 2 1 1
direct
0.000 0.000 0.500
0.000 0.500 0.000
0.500 0.000 0.000
0.000 0.000 0.000
0.500 0.500 0.500
```

Output
Formation energy (no corrections): 0.77 eV/f.u.
Excess energy over the best structure of this formula in the dataset: 0 meV/atom
DOS(E_F): 0.755 states/eV per atom

***

15.
Below is LiFeTeI2 after structural relaxation, with properties calculated at the GGA-PBE level.

Structure (POSCAR):
```
LiFeTeI2
1.0
5.662 0.000 0.000
0.000 5.662 0.000
0.000 0.000 4.790
I Te Fe Li
2 1 1 1
direct
0.000 0.500 0.000
0.500 0.000 0.000
0.000 0.000 0.500
0.000 0.000 0.000
0.500 0.500 0.500
```

Output
Formation energy (no corrections): 0.31 eV/f.u.
Excess energy over the best structure of this formula in the dataset: 0 meV/atom
DOS(E_F): 1.559 states/eV per atom

***

16.
Below is LiFeTe2I after structural relaxation, with properties calculated at the GGA-PBE level.

Structure (POSCAR):
```
LiFeTe2I
1.0
4.923 0.000 0.000
0.000 4.923 0.000
0.000 0.000 6.125
I Te Fe Li
1 2 1 1
direct
0.000 0.000 0.500
0.000 0.500 0.000
0.500 0.000 0.000
0.000 0.000 0.000
0.500 0.500 0.500
```

Output
Formation energy (no corrections): 0.54 eV/f.u.
Excess energy over the best structure of this formula in the dataset: 0 meV/atom
DOS(E_F): 1.124 states/eV per atom

***

17.
Below is LiTlFe2I8 after structural relaxation, with properties calculated at the GGA-PBE level.

Structure (POSCAR):
```
LiTlFe2I8
1.0
7.446 -0.383 -0.014
3.095 6.783 -0.014
0.442 0.268 10.077
Li Tl Fe I
1 1 2 8
direct
0.000 0.000 0.000
0.000 0.000 0.500
0.627 0.627 0.226
0.373 0.373 0.774
0.746 0.251 0.782
0.756 0.756 0.022
0.717 0.717 0.447
0.283 0.283 0.553
0.244 0.244 0.978
0.251 0.746 0.782
0.749 0.254 0.218
0.254 0.749 0.218
```

Output
Formation energy (no corrections): -4.91 eV/f.u.

***

18.
Below is LiTlFeI4 after structural relaxation, with properties calculated at the GGA-PBE level.

Structure (POSCAR):
```
LiTlFeI4
1.0
-6.864 -0.085 -3.159
-3.101 -1.280 6.771
4.524 6.256 -0.961
Li Tl Fe I
1 1 1 4
direct
0.500 0.500 0.000
0.000 0.000 0.000
0.250 0.750 0.500
0.188 0.112 0.728
0.384 0.812 0.272
0.540 0.616 0.728
0.888 0.460 0.272
```

Output
Formation energy (no corrections): -3.80 eV/f.u.
DOS(E_F): 0.969 states/eV per atom

***

19.
Below is MgFe3I9 after structural relaxation, with properties calculated at the GGA-PBE level.

Structure (POSCAR):
```
MgFe3I9
1.0
9.282 0.000 3.906
4.226 9.866 2.941
0.289 -0.190 12.295
Mg Fe I
2 6 18
direct
0.025 0.498 0.004
0.474 0.998 0.504
0.815 0.554 0.676
0.954 0.054 0.176
0.996 0.949 0.830
0.225 0.449 0.330
0.583 0.247 0.722
0.448 0.747 0.222
0.318 0.190 0.335
0.156 0.690 0.835
0.368 0.297 0.931
0.404 0.797 0.431
0.167 0.083 0.699
0.051 0.583 0.199
0.713 0.747 0.068
0.473 0.247 0.568
0.810 0.937 0.369
0.884 0.437 0.869
0.577 0.786 0.696
0.941 0.286 0.196
0.484 0.496 0.228
0.791 0.996 0.728
0.755 0.394 0.597
0.254 0.894 0.097
0.818 0.077 0.024
0.080 0.577 0.524
```

Output
Formation energy (no corrections): -3.62 eV/f.u.
DOS(E_F): 0.872 states/eV per atom

***

20.
Below is MgFeI2 after structural relaxation, with properties calculated at the GGA-PBE level.

Structure (POSCAR):
```
MgFeI2
1.0
-3.997 -3.219 3.757
-1.295 -3.981 -4.789
1.974 -7.252 1.271
I Mg Fe
4 2 2
direct
0.665 0.125 0.250
0.085 0.625 0.250
0.375 0.335 0.750
0.875 0.915 0.750
0.500 0.500 0.000
0.250 0.750 0.500
0.000 0.000 0.000
0.750 0.250 0.500
```

Output
Formation energy (no corrections): 0.72 eV/f.u.
Excess energy over the best structure of this formula in the dataset: 0 meV/atom
DOS(E_F): 0.575 states/eV per atom

***

Volume
In order: 105.44 68.55 82.82 104.99 636.92 292.73 829.07 89.99 128.43 918.40 340.40 500.51 259.30 149.46 153.54 148.42 520.99 322.91 1116.84 248.99
Unit: Å³ per cell